No. 1
Here is a crystal of RbBa3Co relaxed with PBEsol from the Alexandria database. Energies are from meta-GGA SCAN.

Cell and atoms, written as POSCAR:
```
RbBa3Co
1.0
6.2468 0.0000 0.0000
0.0000 6.2468 0.0000
0.0000 0.0000 6.2468
Rb Ba Co
1 3 1
Direct
0.0000 0.0000 0.0000 Rb
0.0000 0.0000 0.5000 Ba
0.0000 0.5000 0.0000 Ba
0.5000 0.0000 0.0000 Ba
0.5000 0.5000 0.5000 Co
```

Computed properties:
total energy: -149.9 eV per formula unit
energy of formation from the pure elements: 1.366 eV/atom
DOS(E_F): 1.540 states/eV per atom
crystal system: cubic



No. 2
Here is a crystal of BaCoRe relaxed with PBEsol from the Alexandria database. Energies are from meta-GGA SCAN.

Cell and atoms, written as POSCAR:
```
BaCoRe
1.0
0.0000 3.2251 3.2251
3.2251 0.0000 3.2251
3.2251 3.2251 0.0000
Ba Co Re
1 1 1
Direct
0.0000 0.0000 0.0000 Ba
0.7500 0.7500 0.7500 Co
0.5000 0.5000 0.5000 Re
```

Computed properties:
total energy: -122.8 eV per formula unit
energy of formation from the pure elements: 1.721 eV/atom
DOS(E_F): 0.913 states/eV per atom
crystal system: cubic



No. 3
Here is a crystal of Ba2CoRe relaxed with PBEsol from the Alexandria database. Energies are from meta-GGA SCAN.

Cell and atoms, written as POSCAR:
```
Ba2CoRe
1.0
3.0362 0.0000 0.0000
0.0000 3.6018 0.0000
0.0000 0.0000 9.0627
Ba Co Re
2 1 1
Direct
0.0000 0.0000 0.2440 Ba
0.0000 0.0000 0.7560 Ba
0.5000 0.5000 0.0000 Co
0.5000 0.5000 0.5000 Re
```

Computed properties:
total energy: -162.1 eV per formula unit
energy of formation from the pure elements: 1.355 eV/atom
E above lowest polymorph: 41 meV per atom
DOS(E_F): 0.726 states/eV per atom
crystal system: orthorhombic



No. 4
Here is a crystal of Ba2CoRe relaxed with PBEsol from the Alexandria database. Energies are from meta-GGA SCAN.

Cell and atoms, written as POSCAR:
```
Ba2CoRe
1.0
5.8062 0.0000 0.0000
0.0000 5.8062 0.0000
0.0000 0.0000 3.0489
Ba Co Re
2 1 1
Direct
0.0000 0.5000 0.0000 Ba
0.5000 0.0000 0.0000 Ba
0.0000 0.0000 0.5000 Co
0.5000 0.5000 0.5000 Re
```

Computed properties:
total energy: -162.2 eV per formula unit
energy of formation from the pure elements: 1.314 eV/atom
E above lowest polymorph: 0 meV per atom
DOS(E_F): 0.843 states/eV per atom
crystal system: tetragonal



No. 5
Here is a crystal of BaCoRh2 relaxed with PBEsol from the Alexandria database. Energies are from meta-GGA SCAN.

Cell and atoms, written as POSCAR:
```
BaCoRh2
1.0
2.8355 -4.7362 0.0000
2.8355 4.7362 0.0000
-1.3548 0.0000 2.6032
Ba Co Rh
1 1 2
Direct
0.0000 0.0000 0.0000 Ba
0.5000 0.5000 0.0000 Co
0.0000 0.5000 0.5000 Rh
0.5000 0.0000 0.5000 Rh
```

Computed properties:
total energy: -121.4 eV per formula unit
energy of formation from the pure elements: 0.758 eV/atom
DOS(E_F): 0.852 states/eV per atom
crystal system: monoclinic



No. 6
Here is a crystal of BaCo2Rh relaxed with PBEsol from the Alexandria database. Energies are from meta-GGA SCAN.

Cell and atoms, written as POSCAR:
```
BaCo2Rh
1.0
3.0614 0.0000 0.0000
0.0000 3.0614 0.0000
0.0000 0.0000 7.3697
Ba Co Rh
1 2 1
Direct
0.0000 0.0000 0.0000 Ba
0.0000 0.0000 0.4803 Co
0.5000 0.5000 0.3401 Co
0.5000 0.5000 0.6731 Rh
```

Computed properties:
total energy: -106.1 eV per formula unit
energy of formation from the pure elements: 0.453 eV/atom
DOS(E_F): 0.753 states/eV per atom
crystal system: tetragonal



No. 7
Here is a crystal of BaCoRh2 relaxed with PBEsol from the Alexandria database. Energies are from meta-GGA SCAN.

Cell and atoms, written as POSCAR:
```
BaCoRh2
1.0
-2.1689 2.1689 3.7055
2.1689 -2.1689 3.7055
2.1689 2.1689 -3.7055
Ba Co Rh
1 1 2
Direct
0.0000 0.0000 0.0000 Ba
0.7500 0.2500 0.5000 Co
0.2500 0.7500 0.5000 Rh
0.5000 0.5000 0.0000 Rh
```

Computed properties:
total energy: -121.7 eV per formula unit
energy of formation from the pure elements: 0.673 eV/atom
DOS(E_F): 0.929 states/eV per atom
crystal system: tetragonal



No. 8
Here is a crystal of BaCo2Rh relaxed with PBEsol from the Alexandria database. Energies are from meta-GGA SCAN.

Cell and atoms, written as POSCAR:
```
BaCo2Rh
1.0
0.0000 3.2090 3.2090
3.2090 0.0000 3.2090
3.2090 3.2090 0.0000
Ba Co Rh
1 2 1
Direct
0.0000 0.0000 0.0000 Ba
0.2500 0.2500 0.2500 Co
0.7500 0.7500 0.7500 Co
0.5000 0.5000 0.5000 Rh
```

Computed properties:
total energy: -104.4 eV per formula unit
energy of formation from the pure elements: 0.894 eV/atom
DOS(E_F): 0.999 states/eV per atom
crystal system: cubic